Entry from Alexandria via LeMat-Bulk: crystalline Er2Ni3P4Ir at its relaxed geometry (PBE).

abc: 4.0014 4.0014 9.1792
angles: 90.00 90.00 90.00
With the nearest neighbours (Å) after each atom.
Atoms (fractional coordinates):
Er 0.0000 0.5000 0.2401  8 P 2.98-3.04, 7 Ni 3.05-3.28, 2 Ir 3.11
Er 0.5000 0.0000 0.7599  8 P 2.98-3.04, 7 Ni 3.05-3.28, 2 Ir 3.11
Ni 0.0000 0.5000 0.8831  5 P 2.24-2.27
Ni 0.5000 0.0000 0.1169  5 P 2.24-2.27
Ni 0.5000 0.5000 0.5000  4 P 2.38
P 0.0000 0.0000 0.0000  4 Ni 2.27
P 0.0000 0.5000 0.6395  3 Ni 2.24-2.38, 2 Ir 2.38
P 0.5000 0.0000 0.3605  3 Ni 2.24-2.38, 2 Ir 2.38
P 0.5000 0.5000 0.0000  4 Ni 2.27
Ir 0.0000 0.0000 0.5000  4 P 2.38

Properties
Crystal system ... tetragonal
Space-group type ... No. 115
DFT formation energy ... -952 meV/atom

Entry from Alexandria via LeMat-Bulk: crystalline GaIrCl2 at its relaxed geometry (PBE).

abc: 4.7657 4.7657 4.7657
angles: 60.00 60.00 60.00
With the nearest neighbours (Å) after each atom.
Atoms (fractional coordinates):
Ga 0.0000 0.0000 0.0000  8 Cl 2.92
Ir 0.5000 0.5000 0.5000  8 Cl 2.92
Cl 0.2500 0.2500 0.2500  4 Ir 2.92, 4 Ga 2.92
Cl 0.7500 0.7500 0.7500  4 Ir 2.92, 4 Ga 2.92

Properties
Crystal system ... cubic
Space-group type ... No. 225
ΔE to the lowest computed polymorph ... 292 meV per atom
Formation energy (no corrections) ... 2.55 eV per formula unit

Entry from Alexandria via LeMat-Bulk: crystalline AlCrCo2 at its relaxed geometry (PBE).

abc: 8.0634 8.0634 8.0634
angles: 18.51 18.51 18.51
With the nearest neighbours (Å) after each atom.
Atoms (fractional coordinates):
Al 0.0000 0.0000 0.0000  6 Co 2.52, 6 Al 2.59
Cr 0.5000 0.5000 0.5000  6 Co 2.45, 6 Cr 2.59
Co 0.2483 0.2483 0.2483  3 Cr 2.45, 3 Al 2.52, 6 Co 2.59
Co 0.7517 0.7517 0.7517  3 Cr 2.45, 3 Al 2.52, 6 Co 2.59

Properties
Crystal system ... trigonal
Space-group type ... No. 166
DFT formation energy ... -21 meV/atom

| no. | DOS(E_F) (states/eV per cell) | density (g/cm3) |
| --- | --- | --- |
| 1 | 3.3 | 9.34 |
| 2 | 3.3 | 7.22 |
| 3 | 4.4 | 7.08 |